A plane-wave DFT calculation with GGA-PBE was carried out for crystalline Cs3Ce3ScO8 at its relaxed geometry.

## Properties
Spin magnetization, μB per atom: 0.05
Energy relative to the elements, uncorrected, meV per atom: -2741

abc: 7.135 7.132 8.096
angles: 116.16 90.00 119.99
Fractional positions:
Cs 0.000 0.000 0.000
Cs 0.000 0.500 0.000
Cs 0.500 0.500 0.000
Ce 0.500 0.000 0.500
Ce 0.500 0.500 0.500
Ce 0.000 0.500 0.500
Sc 0.000 0.000 0.500
O 0.278 0.556 0.335
O 0.722 0.444 0.665
O 0.792 0.583 0.347
O 0.208 0.417 0.653
O 0.792 0.055 0.347
O 0.208 0.945 0.653
O 0.263 0.055 0.347
O 0.737 0.945 0.653